Entry A
Density functional theory data (PBE-GGA) for a geometry-optimized HgAsS2 structure.

abc: 7.9673 7.9673 7.9673
angles: 140.01 140.01 57.84
With the nearest neighbours (Å) after each atom.
Fractional coordinates of all 8 atoms:
Hg 0.0000 0.0000 0.0000  4 S 2.69
Hg 0.7500 0.2500 0.5000  4 S 2.69
As 0.2500 0.7500 0.5000  4 S 2.51
As 0.5000 0.5000 0.0000  4 S 2.51
S 0.1558 0.6250 0.0308  2 As 2.51, 2 Hg 2.69
S 0.3750 0.4058 0.5308  2 As 2.51, 2 Hg 2.69
S 0.5942 0.1250 0.9692  2 As 2.51, 2 Hg 2.69
S 0.8750 0.8442 0.4692  2 As 2.51, 2 Hg 2.69

Summary:
D(E_F)   0.32 states/eV/atom
Symmetry   I-42d (122)

***

Entry B
Density functional theory data (PBE-GGA) for a geometry-optimized HgAsS2 structure.

abc: 8.0096 8.0096 8.0096
angles: 28.06 28.06 28.06
With the nearest neighbours (Å) after each atom.
Fractional coordinates of all 4 atoms:
Hg 0.0000 0.0000 0.0000  6 S 2.71
As 0.5000 0.5000 0.5000  2 S 2.32
S 0.3995 0.3995 0.3995  1 As 2.32
S 0.6005 0.6005 0.6005  1 As 2.32

Summary:
D(E_F)   0.56 states/eV/atom
Symmetry   R-3m (166)

***

Which structure is the least stable? The one labeled entry B.

***

Entry A
Density functional theory data (PBE-GGA) for a geometry-optimized Hg3AsS structure.

abc: 5.2524 5.2524 5.2524
angles: 90.00 90.00 90.00
With the nearest neighbours (Å) after each atom.
Fractional coordinates of all 5 atoms:
Hg 0.0000 0.0000 0.5000  2 As 2.63
Hg 0.0000 0.5000 0.0000  2 As 2.63
Hg 0.5000 0.0000 0.0000  2 As 2.63
As 0.0000 0.0000 0.0000  6 Hg 2.63
S 0.5000 0.5000 0.5000  12 Hg 3.71

Summary:
D(E_F)   0.63 states/eV/atom
Symmetry   Pm-3m (221)

***

Entry B
Density functional theory data (PBE-GGA) for a geometry-optimized Hg3AsS structure.

abc: 10.0609 10.0609 10.0609
angles: 105.05 105.05 105.05
With the nearest neighbours (Å) after each atom.
Fractional coordinates of all 30 atoms:
Hg 0.0605 0.4438 0.8775  1 As 2.87, 2 Hg 3.11
Hg 0.1177 0.6938 0.7492  1 S 2.50, 1 As 2.58
Hg 0.1225 0.9395 0.5562  1 As 2.87, 2 Hg 3.11
Hg 0.2103 0.3705 0.5315  1 S 2.47, 1 As 2.57
Hg 0.2508 0.8823 0.3062  1 S 2.50, 1 As 2.58
Hg 0.3062 0.2508 0.8823  1 S 2.50, 1 As 2.58
Hg 0.3705 0.5315 0.2103  1 S 2.47, 1 As 2.57
Hg 0.4438 0.8775 0.0605  1 As 2.87, 2 Hg 3.11
Hg 0.4685 0.7897 0.6295  1 S 2.47, 1 As 2.57
Hg 0.5315 0.2103 0.3705  1 S 2.47, 1 As 2.57
Hg 0.5562 0.1225 0.9395  1 As 2.87, 2 Hg 3.11
Hg 0.6295 0.4685 0.7897  1 S 2.47, 1 As 2.57
Hg 0.6938 0.7492 0.1177  1 S 2.50, 1 As 2.58
Hg 0.7492 0.1177 0.6938  1 S 2.50, 1 As 2.58
Hg 0.7897 0.6295 0.4685  1 S 2.47, 1 As 2.57
Hg 0.8775 0.0605 0.4438  1 As 2.87, 2 Hg 3.11
Hg 0.8823 0.3062 0.2508  1 S 2.50, 1 As 2.58
Hg 0.9395 0.5562 0.1225  1 As 2.87, 2 Hg 3.11
As 0.0575 0.1602 0.2853  3 Hg 2.57-2.87
As 0.1602 0.2853 0.0575  3 Hg 2.57-2.87
As 0.2853 0.0575 0.1602  3 Hg 2.57-2.87
As 0.7147 0.9425 0.8398  3 Hg 2.57-2.87
As 0.8398 0.7147 0.9425  3 Hg 2.57-2.87
As 0.9425 0.8398 0.7147  3 Hg 2.57-2.87
S 0.2430 0.6807 0.4088  2 Hg 2.47-2.50
S 0.3193 0.5912 0.7570  2 Hg 2.47-2.50
S 0.4088 0.2430 0.6807  2 Hg 2.47-2.50
S 0.5912 0.7570 0.3193  2 Hg 2.47-2.50
S 0.6807 0.4088 0.2430  2 Hg 2.47-2.50
S 0.7570 0.3193 0.5912  2 Hg 2.47-2.50

Summary:
D(E_F)   0.40 states/eV/atom
Symmetry   R-3 (148)

***

Entry C
Density functional theory data (PBE-GGA) for a geometry-optimized Hg3AsS structure.

abc: 5.1886 5.1886 5.1886
angles: 90.00 90.00 90.00
With the nearest neighbours (Å) after each atom.
Fractional coordinates of all 5 atoms:
Hg 0.0000 0.0000 0.5000  2 S 2.59
Hg 0.0000 0.5000 0.0000  2 S 2.59
Hg 0.5000 0.0000 0.0000  2 S 2.59
As 0.5000 0.5000 0.5000  12 Hg 3.67
S 0.0000 0.0000 0.0000  6 Hg 2.59

Summary:
D(E_F)   0.70 states/eV/atom
Symmetry   Pm-3m (221)

***

Which structure is the least stable? The one labeled entry C.

***

Entry A
Density functional theory data (PBE-GGA) for a geometry-optimized HgAsS4 structure.

abc: 11.3349 11.3349 7.0520
angles: 92.28 92.28 155.47
With the nearest neighbours (Å) after each atom.
Fractional coordinates of all 12 atoms:
Hg 0.1272 0.8728 0.7500  4 S 2.63-2.66
Hg 0.8728 0.1272 0.2500  4 S 2.63-2.66
As 0.4968 0.5032 0.7500  2 S 2.24
As 0.5032 0.4968 0.2500  2 S 2.24
S 0.1281 0.5695 0.3256  1 S 1.96
S 0.2075 0.3304 0.0325  1 As 2.24
S 0.3304 0.2075 0.5325  1 As 2.24
S 0.4305 0.8719 0.1744  1 S 1.96
S 0.5695 0.1281 0.8256  1 S 1.96
S 0.6696 0.7925 0.4675  1 As 2.24
S 0.7925 0.6696 0.9675  1 As 2.24
S 0.8719 0.4305 0.6744  1 S 1.96

Summary:
D(E_F)   0.41 states/eV/atom
Symmetry   C2/c (15)

***

Entry B
Density functional theory data (PBE-GGA) for a geometry-optimized HgAsS4 structure.

abc: 6.5208 3.4997 6.5727
angles: 90.00 112.50 90.00
With the nearest neighbours (Å) after each atom.
Fractional coordinates of all 6 atoms:
Hg 0.0000 0.0000 0.0000  4 S 2.55
As 0.5000 0.5000 0.0000  6 S 2.44-2.45
S 0.2778 0.5000 0.2285  1 As 2.45, 2 Hg 2.55
S 0.2913 0.0000 0.7480  2 As 2.44
S 0.7087 0.0000 0.2520  2 As 2.44
S 0.7222 0.5000 0.7715  1 As 2.45, 2 Hg 2.55

Summary:
D(E_F)   0.65 states/eV/atom
Symmetry   P2/m (10)

***

Which structure is the least stable? The one labeled entry B.

***

Entry A
Density functional theory data (PBE-GGA) for a geometry-optimized Hg2AsS4 structure.

abc: 6.8131 6.8131 6.8131
angles: 128.80 128.80 75.33
With the nearest neighbours (Å) after each atom.
Fractional coordinates of all 7 atoms:
Hg 0.2500 0.7500 0.5000  4 S 2.60
Hg 0.7500 0.2500 0.5000  4 S 2.60
As 0.0000 0.0000 0.0000  4 S 2.35
S 0.1407 0.6470 0.0000  1 As 2.35, 2 Hg 2.60
S 0.3530 0.3530 0.4937  1 As 2.35, 2 Hg 2.60
S 0.6470 0.1407 0.0000  1 As 2.35, 2 Hg 2.60
S 0.8593 0.8593 0.5063  1 As 2.35, 2 Hg 2.60

Summary:
D(E_F)   0.71 states/eV/atom
Symmetry   I-42m (121)

***

Entry B
Density functional theory data (PBE-GGA) for a geometry-optimized Hg2AsS4 structure.

abc: 7.3649 7.3649 7.3649
angles: 140.28 140.28 57.43
With the nearest neighbours (Å) after each atom.
Fractional coordinates of all 7 atoms:
Hg 0.1219 0.1219 0.0000  1 S 2.46
Hg 0.8781 0.8781 0.0000  1 S 2.46
As 0.5000 0.5000 0.0000  6 S 2.42-2.50
S 0.0000 0.5000 0.5000  2 As 2.50
S 0.3123 0.3123 0.0000  1 As 2.42, 1 Hg 2.46
S 0.5000 0.0000 0.5000  2 As 2.50
S 0.6877 0.6877 0.0000  1 As 2.42, 1 Hg 2.46

Summary:
D(E_F)   0.70 states/eV/atom
Symmetry   I4/mmm (139)

***

Which structure is the least stable? The one labeled entry B.

***

Entry A
Density functional theory data (PBE-GGA) for a geometry-optimized HgAsSe2S structure.

abc: 5.1775 5.1775 5.4026
angles: 90.00 90.00 90.00
With the nearest neighbours (Å) after each atom.
Fractional coordinates of all 5 atoms:
Hg 0.0000 0.0000 0.0000  4 Se 2.59, 2 As 2.70
As 0.0000 0.0000 0.5000  2 Hg 2.70
Se 0.0000 0.5000 0.0000  2 Hg 2.59
Se 0.5000 0.0000 0.0000  2 Hg 2.59
S 0.5000 0.5000 0.5000  4 As 3.66, 8 Se 3.74

Summary:
D(E_F)   1.12 states/eV/atom
Symmetry   P4/mmm (123)

***

Entry B
Density functional theory data (PBE-GGA) for a geometry-optimized HgAsSe2S structure.

abc: 5.0648 5.0648 5.3328
angles: 90.00 90.00 90.00
With the nearest neighbours (Å) after each atom.
Fractional coordinates of all 5 atoms:
Hg 0.0000 0.0000 0.0000  2 As 2.67
As 0.0000 0.0000 0.5000  4 Se 2.53, 2 Hg 2.67
Se 0.0000 0.5000 0.5000  2 As 2.53
Se 0.5000 0.0000 0.5000  2 As 2.53
S 0.5000 0.5000 0.0000  4 Hg 3.58, 8 Se 3.68

Summary:
D(E_F)   1.33 states/eV/atom
Symmetry   P4/mmm (123)

***

Entry C
Density functional theory data (PBE-GGA) for a geometry-optimized HgAsSe2S structure.

abc: 4.9004 4.9004 4.9772
angles: 90.00 90.00 90.00
With the nearest neighbours (Å) after each atom.
Fractional coordinates of all 5 atoms:
Hg 0.0000 0.0000 0.0000  4 As 3.47, 8 Se 3.49
As 0.5000 0.5000 0.0000  2 S 2.49
Se 0.0000 0.5000 0.5000  2 S 2.45
Se 0.5000 0.0000 0.5000  2 S 2.45
S 0.5000 0.5000 0.5000  4 Se 2.45, 2 As 2.49

Summary:
D(E_F)   0.94 states/eV/atom
Symmetry   P4/mmm (123)

***

Which structure is the least stable? The one labeled entry A.

***

Entry A
Density functional theory data (PBE-GGA) for a geometry-optimized HgAs2SeS structure.

abc: 5.2587 5.2587 5.0936
angles: 90.00 90.00 90.00
With the nearest neighbours (Å) after each atom.
Fractional coordinates of all 5 atoms:
Hg 0.0000 0.0000 0.0000  2 Se 2.55, 4 As 2.63
As 0.0000 0.5000 0.0000  2 Hg 2.63
As 0.5000 0.0000 0.0000  2 Hg 2.63
Se 0.0000 0.0000 0.5000  2 Hg 2.55
S 0.5000 0.5000 0.5000  8 As 3.66, 4 Se 3.72

Summary:
D(E_F)   1.29 states/eV/atom
Symmetry   P4/mmm (123)

***

Entry B
Density functional theory data (PBE-GGA) for a geometry-optimized HgAs2SeS structure.

abc: 4.9321 4.9321 4.8697
angles: 90.00 90.00 90.00
With the nearest neighbours (Å) after each atom.
Fractional coordinates of all 5 atoms:
Hg 0.0000 0.0000 0.0000  8 As 3.47, 4 Se 3.49
As 0.0000 0.5000 0.5000  2 S 2.47
As 0.5000 0.0000 0.5000  2 S 2.47
Se 0.5000 0.5000 0.0000  2 S 2.43
S 0.5000 0.5000 0.5000  2 Se 2.43, 4 As 2.47

Summary:
D(E_F)   1.02 states/eV/atom
Symmetry   P4/mmm (123)

***

Which structure is the least stable? The one labeled entry A.

***

Entry A
Density functional theory data (PBE-GGA) for a geometry-optimized HgSbAs2 structure.

abc: 7.7972 7.7972 7.7972
angles: 132.64 132.64 69.22
With the nearest neighbours (Å) after each atom.
Fractional coordinates of all 8 atoms:
Hg 0.0000 0.0000 0.0000  4 As 2.73
Hg 0.7500 0.2500 0.5000  4 As 2.73
Sb 0.2500 0.7500 0.5000  4 As 2.74
Sb 0.5000 0.5000 0.0000  4 As 2.74
As 0.1231 0.6250 0.9981  2 Hg 2.73, 2 Sb 2.74
As 0.3750 0.3731 0.4981  2 Hg 2.73, 2 Sb 2.74
As 0.6269 0.1250 0.0019  2 Hg 2.73, 2 Sb 2.74
As 0.8750 0.8769 0.5019  2 Hg 2.73, 2 Sb 2.74

Summary:
D(E_F)   0.69 states/eV/atom
Symmetry   I-42d (122)

***

Entry B
Density functional theory data (PBE-GGA) for a geometry-optimized HgSbAs2 structure.

abc: 8.8092 8.8092 8.8092
angles: 24.00 24.00 24.00
With the nearest neighbours (Å) after each atom.
Fractional coordinates of all 4 atoms:
Hg 0.0000 0.0000 0.0000  3 As 3.17, 3 Sb 3.30
Sb 0.7655 0.7655 0.7655  3 As 3.05, 3 Hg 3.30
As 0.2411 0.2411 0.2411  3 As 2.56
As 0.5179 0.5179 0.5179  3 As 2.56

Summary:
D(E_F)   0.34 states/eV/atom
Symmetry   R3m (160)

***

Entry C
Density functional theory data (PBE-GGA) for a geometry-optimized HgSbAs2 structure.

abc: 5.0522 5.0522 5.0522
angles: 60.00 60.00 60.00
With the nearest neighbours (Å) after each atom.
Fractional coordinates of all 4 atoms:
Hg 0.0000 0.0000 0.0000  8 As 3.09
Sb 0.5000 0.5000 0.5000  8 As 3.09
As 0.2500 0.2500 0.2500  4 Hg 3.09, 4 Sb 3.09
As 0.7500 0.7500 0.7500  4 Hg 3.09, 4 Sb 3.09

Summary:
D(E_F)   0.62 states/eV/atom
Symmetry   Fm-3m (225)

***

Entry D
Density functional theory data (PBE-GGA) for a geometry-optimized HgSbAs2 structure.

abc: 5.0371 5.0371 5.0371
angles: 60.00 60.00 60.00
With the nearest neighbours (Å) after each atom.
Fractional coordinates of all 4 atoms:
Hg 0.0000 0.0000 0.0000  4 Sb 3.08, 4 As 3.08
Sb 0.7500 0.7500 0.7500  4 As 3.08, 4 Hg 3.08
As 0.2500 0.2500 0.2500  4 As 3.08, 4 Hg 3.08
As 0.5000 0.5000 0.5000  4 As 3.08, 4 Sb 3.08

Summary:
D(E_F)   0.38 states/eV/atom
Symmetry   F-43m (216)

***

Which structure is the least stable? The one labeled entry D.

***

Entry A
Density functional theory data (PBE-GGA) for a geometry-optimized HgSbAs2 structure.

abc: 3.0265 5.0123 6.2275
angles: 90.00 90.09 90.00
With the nearest neighbours (Å) after each atom.
Fractional coordinates of all 4 atoms:
Hg 0.0000 0.0000 0.0000  2 Hg 3.03, 8 As 3.21-3.23
Sb 0.5000 0.0000 0.5000  2 Sb 3.03, 4 As 3.07
As 0.4959 0.5000 0.2154  1 As 2.68
As 0.5041 0.5000 0.7846  1 As 2.68

Summary:
D(E_F)   0.53 states/eV/atom
Symmetry   P2/m (10)

***

Entry B
Density functional theory data (PBE-GGA) for a geometry-optimized HgSbAs2 structure.

abc: 5.9613 5.9613 3.0356
angles: 98.57 98.57 118.45
With the nearest neighbours (Å) after each atom.
Fractional coordinates of all 4 atoms:
Hg 0.0000 0.0000 0.0000  2 Hg 3.04, 2 Sb 3.05, 4 As 3.14
Sb 0.5000 0.5000 0.0000  2 Sb 3.04, 2 Hg 3.05, 4 As 3.14
As 0.0000 0.5000 0.5000  4 As 3.04-3.05, 2 Hg 3.14, 2 Sb 3.14
As 0.5000 0.0000 0.5000  4 As 3.04-3.05, 2 Hg 3.14, 2 Sb 3.14

Summary:
D(E_F)   0.47 states/eV/atom
Symmetry   C2/m (12)

***

Entry C
Density functional theory data (PBE-GGA) for a geometry-optimized HgSbAs2 structure.

abc: 3.1181 3.1181 10.0802
angles: 90.00 90.00 108.29
With the nearest neighbours (Å) after each atom.
Fractional coordinates of all 4 atoms:
Hg 0.0000 0.0000 0.0000  4 Hg 3.12, 4 As 3.23
Sb 0.0000 0.0000 0.5000  4 As 2.99, 4 Sb 3.12
As 0.5000 0.5000 0.2646  2 Sb 2.99, 4 As 3.12, 2 Hg 3.23
As 0.5000 0.5000 0.7354  2 Sb 2.99, 4 As 3.12, 2 Hg 3.23

Summary:
D(E_F)   0.41 states/eV/atom
Symmetry   Cmmm (65)

***

Entry D
Density functional theory data (PBE-GGA) for a geometry-optimized HgSbAs2 structure.

abc: 3.1957 3.1957 10.2607
angles: 90.00 90.00 113.02
With the nearest neighbours (Å) after each atom.
Fractional coordinates of all 4 atoms:
Hg 0.0000 0.0000 0.0000  6 Hg 3.20-3.53, 2 As 3.33, 2 Sb 3.39
Sb 0.5000 0.5000 0.2826  6 Sb 3.20-3.53, 2 As 3.20, 2 Hg 3.39
As 0.0000 0.0000 0.5424  2 As 2.57
As 0.5000 0.5000 0.7244  2 As 2.57

Summary:
D(E_F)   0.60 states/eV/atom
Symmetry   Cmm2 (35)

***

Which structure is the least stable? The one labeled entry B.